Compound: Mn2HF2
Source: Alexandria
Functional: PBE+U
Structure: optimized geometry Values from VASP.

Geometry as Quantum ESPRESSO input:
```
&SYSTEM
  ibrav = 0, nat = 5, ntyp = 3
/
ATOMIC_SPECIES
F 19.00 F.upf
Mn 54.94 Mn.upf
H 1.01 H.upf
CELL_PARAMETERS angstrom
-2.839 2.296 -2.333
-1.163 -3.594 -2.121
-4.535 -1.282 0.234
ATOMIC_POSITIONS crystal
F 0.676 0.676 0.648
F 0.324 0.324 0.352
Mn 0.750 0.250 0.500
Mn 0.250 0.750 0.500
H 0.000 0.000 0.000
```

magnetic moment = 1.87 μB per atom
electronic total energy = -0.19117 hartree per atom
density of states at the Fermi level = 0.324 states/eV/atom
offset from the most stable computed form = 9.4 meV/atom